Record 1
Sm3Co2Sn4: relaxed, PBE. Values from VASP.

Properties
ΔH_f (0 K) ... -52.3 kJ per mole of atoms
Total magnetization ... 0.00 μB per cell
DOS at the Fermi energy ... 0.82 states/eV per atom

The structure in Quantum ESPRESSO input format:
```
&SYSTEM
  ibrav = 0, nat = 9, ntyp = 3
/
ATOMIC_SPECIES
Sm 150.36 Sm.upf
Co 58.93 Co.upf
Sn 118.71 Sn.upf
CELL_PARAMETERS angstrom
5.696 -2.248 0.000
5.696 2.248 0.000
-2.353 0.000 8.282
ATOMIC_POSITIONS crystal
Sm 0.000 0.000 0.000
Sm 0.372 0.372 0.313
Sm 0.628 0.628 0.687
Co 0.301 0.301 0.613
Co 0.699 0.699 0.387
Sn 0.094 0.094 0.393
Sn 0.295 0.295 0.913
Sn 0.705 0.705 0.087
Sn 0.906 0.906 0.607
```

Record 2
Sm4Co2Sn: relaxed, PBE. Values from VASP.

Properties
ΔH_f (0 K) ... -15.6 kJ per mole of atoms
Total magnetization ... 0.00 μB per cell
DOS at the Fermi energy ... 0.79 states/eV per atom

The structure in Quantum ESPRESSO input format:
```
&SYSTEM
  ibrav = 0, nat = 7, ntyp = 3
/
ATOMIC_SPECIES
Sm 150.36 Sm.upf
Co 58.93 Co.upf
Sn 118.71 Sn.upf
CELL_PARAMETERS angstrom
2.382 1.375 9.231
-2.382 1.375 9.231
0.000 -2.751 9.231
ATOMIC_POSITIONS crystal
Sm 0.111 0.111 0.111
Sm 0.298 0.298 0.298
Sm 0.702 0.702 0.702
Sm 0.889 0.889 0.889
Co 0.403 0.403 0.403
Co 0.597 0.597 0.597
Sn 0.500 0.500 0.500
```

Record 3
SmCo3Sn3: relaxed, PBE. Values from VASP.

Properties
ΔH_f (0 K) ... 31.3 kJ per mole of atoms
Total magnetization ... 1.45 μB per cell
DOS at the Fermi energy ... 1.34 states/eV per atom

The structure in Quantum ESPRESSO input format:
```
&SYSTEM
  ibrav = 0, nat = 14, ntyp = 3
/
ATOMIC_SPECIES
Sm 150.36 Sm.upf
Co 58.93 Co.upf
Sn 118.71 Sn.upf
CELL_PARAMETERS angstrom
6.868 0.000 0.000
0.000 6.868 0.000
0.000 0.000 6.868
ATOMIC_POSITIONS crystal
Sm 0.000 0.000 0.000
Sm 0.500 0.500 0.500
Co 0.000 0.250 0.500
Co 0.000 0.750 0.500
Co 0.250 0.500 0.000
Co 0.500 0.000 0.250
Co 0.500 0.000 0.750
Co 0.750 0.500 0.000
Sn 0.000 0.500 0.250
Sn 0.000 0.500 0.750
Sn 0.250 0.000 0.500
Sn 0.500 0.250 0.000
Sn 0.500 0.750 0.000
Sn 0.750 0.000 0.500
```

Record 4
SmCo4Sn12: relaxed, PBE. Values from VASP.

Properties
ΔH_f (0 K) ... -9.7 kJ per mole of atoms
Total magnetization ... 0.01 μB per cell
DOS at the Fermi energy ... 1.05 states/eV per atom

The structure in Quantum ESPRESSO input format:
```
&SYSTEM
  ibrav = 0, nat = 17, ntyp = 3
/
ATOMIC_SPECIES
Sm 150.36 Sm.upf
Co 58.93 Co.upf
Sn 118.71 Sn.upf
CELL_PARAMETERS angstrom
-4.609 4.609 4.609
4.609 -4.609 4.609
4.609 4.609 -4.609
ATOMIC_POSITIONS crystal
Sm 0.000 0.000 0.000
Co 0.000 0.000 0.500
Co 0.000 0.500 0.000
Co 0.500 0.000 0.000
Co 0.500 0.500 0.500
Sn 0.160 0.330 0.830
Sn 0.170 0.500 0.330
Sn 0.170 0.840 0.670
Sn 0.330 0.170 0.500
Sn 0.330 0.830 0.160
Sn 0.500 0.330 0.170
Sn 0.500 0.670 0.830
Sn 0.670 0.170 0.840
Sn 0.670 0.830 0.500
Sn 0.830 0.160 0.330
Sn 0.830 0.500 0.670
Sn 0.840 0.670 0.170
```

Record 5
Sm3CoSn: relaxed, PBE. Values from VASP.

Properties
ΔH_f (0 K) ... -28.6 kJ per mole of atoms
Polymorph energy (0 for the lowest one) ... 0.00 kJ per mole of atoms
Total magnetization ... 0.00 μB per cell
DOS at the Fermi energy ... 0.78 states/eV per atom

The structure in Quantum ESPRESSO input format:
```
&SYSTEM
  ibrav = 0, nat = 5, ntyp = 3
/
ATOMIC_SPECIES
Sm 150.36 Sm.upf
Co 58.93 Co.upf
Sn 118.71 Sn.upf
CELL_PARAMETERS angstrom
5.196 0.000 0.000
0.000 5.196 0.000
0.000 0.000 5.196
ATOMIC_POSITIONS crystal
Sm 0.000 0.000 0.500
Sm 0.000 0.500 0.000
Sm 0.500 0.000 0.000
Co 0.000 0.000 0.000
Sn 0.500 0.500 0.500
```

Record 6
Sm12Co6Sn: relaxed, PBE. Values from VASP.

Properties
ΔH_f (0 K) ... -20.7 kJ per mole of atoms
Total magnetization ... 0.00 μB per cell
DOS at the Fermi energy ... 0.52 states/eV per atom

The structure in Quantum ESPRESSO input format:
```
&SYSTEM
  ibrav = 0, nat = 19, ntyp = 3
/
ATOMIC_SPECIES
Sm 150.36 Sm.upf
Co 58.93 Co.upf
Sn 118.71 Sn.upf
CELL_PARAMETERS angstrom
-4.941 4.941 4.941
4.941 -4.941 4.941
4.941 4.941 -4.941
ATOMIC_POSITIONS crystal
Sm 0.111 0.305 0.807
Sm 0.193 0.498 0.305
Sm 0.193 0.889 0.695
Sm 0.305 0.193 0.498
Sm 0.305 0.807 0.111
Sm 0.498 0.305 0.193
Sm 0.502 0.695 0.807
Sm 0.695 0.193 0.889
Sm 0.695 0.807 0.502
Sm 0.807 0.111 0.305
Sm 0.807 0.502 0.695
Sm 0.889 0.695 0.193
Co 0.112 0.500 0.612
Co 0.388 0.888 0.500
Co 0.500 0.388 0.888
Co 0.500 0.612 0.112
Co 0.612 0.112 0.500
Co 0.888 0.500 0.388
Sn 0.000 0.000 0.000
```

Record 7
SmCoSn: relaxed, PBE. Values from VASP.

Properties
ΔH_f (0 K) ... -29.0 kJ per mole of atoms
Total magnetization ... 1.32 μB per cell
DOS at the Fermi energy ... 1.73 states/eV per atom

The structure in Quantum ESPRESSO input format:
```
&SYSTEM
  ibrav = 0, nat = 3, ntyp = 3
/
ATOMIC_SPECIES
Sm 150.36 Sm.upf
Co 58.93 Co.upf
Sn 118.71 Sn.upf
CELL_PARAMETERS angstrom
0.000 3.250 3.250
3.250 0.000 3.250
3.250 3.250 0.000
ATOMIC_POSITIONS crystal
Sm 0.000 0.000 0.000
Co 0.750 0.750 0.750
Sn 0.500 0.500 0.500
```

Record 8
SmCo6Sn6: relaxed, PBE. Values from VASP.

Properties
ΔH_f (0 K) ... -14.6 kJ per mole of atoms
Total magnetization ... 0.00 μB per cell
DOS at the Fermi energy ... 0.66 states/eV per atom

The structure in Quantum ESPRESSO input format:
```
&SYSTEM
  ibrav = 0, nat = 13, ntyp = 3
/
ATOMIC_SPECIES
Sm 150.36 Sm.upf
Co 58.93 Co.upf
Sn 118.71 Sn.upf
CELL_PARAMETERS angstrom
-2.700 4.312 4.664
2.700 -4.312 4.664
2.700 4.312 -4.664
ATOMIC_POSITIONS crystal
Sm 0.000 0.000 0.000
Co 0.000 0.000 0.500
Co 0.000 0.500 0.000
Co 0.249 0.500 0.749
Co 0.500 0.000 0.000
Co 0.500 0.500 0.500
Co 0.751 0.500 0.251
Sn 0.171 0.671 0.500
Sn 0.336 0.000 0.336
Sn 0.337 0.337 0.000
Sn 0.663 0.663 0.000
Sn 0.664 0.000 0.664
Sn 0.829 0.329 0.500
```

Q: Which formula does entry 7 have?
A: SmCoSn